CsMg2Hg9: relaxed, PBE-GGA.

Cell and atoms, written as POSCAR:
```
CsMg2Hg9
1.0
-0.215 3.889 -1.882
-8.693 1.430 3.950
7.960 2.730 4.732
Cs Mg Hg
1 2 9
Direct
0.000 0.000 0.000 Cs
0.000 0.667 0.333 Mg
0.000 0.333 0.667 Mg
0.500 0.803 0.197 Hg
0.000 0.000 0.500 Hg
0.000 0.500 0.500 Hg
0.500 0.803 0.605 Hg
0.500 0.197 0.803 Hg
0.500 0.605 0.803 Hg
0.500 0.197 0.395 Hg
0.000 0.500 0.000 Hg
0.500 0.395 0.197 Hg
```

Symmetry: P6/mmm (191)
Volume in Å³/f.u.: 349.21
Final energy in Ha/atom: -0.0248
Formation energy in meV per atom: -112